A plane-wave DFT calculation with PBE was carried out for a relaxed structure of Hf2FeSi.

- Calculated density: 11.17 g cm⁻³

Cell and atoms, written as extended XYZ:
```
16
Lattice="-0.0604 1.3912 -4.9323 -2.9822 -7.1677 -1.9851 -5.9243 2.2318 0.8413" Properties=species:S:1:pos:R:3 pbc="T T T"
Hf -5.2770 0.1924 -2.5592
Hf -2.0004 -0.1677 -2.7705
Hf -3.7270 -0.1462 -0.0229
Hf -3.8059 -4.5074 -3.9724
Hf -2.2560 -4.8460 -1.4361
Hf -6.4536 -2.6356 -3.3424
Hf -5.5752 -4.5884 -1.2532
Hf -1.1220 -2.1205 -0.6813
Fe -5.1600 2.3180 -0.6180
Fe -3.6890 -2.3818 -2.0312
Fe -3.2981 1.9363 -2.0370
Fe -1.8271 -2.7634 -3.4502
Si -5.5826 -1.9590 -0.7131
Si -3.7110 -1.6868 -4.5077
Si -1.1294 0.5090 -0.1412
Si -5.1820 3.0130 -3.0945
```


A plane-wave DFT calculation with PBE was carried out for a relaxed structure of Pm8Ag2Pd.

- Calculated density: 7.58 g cm⁻³

Cell and atoms, written as extended XYZ:
```
11
Lattice="-4.7880 0.6034 -2.0735 -2.8752 -1.6451 6.1607 3.2887 8.7023 1.5911" Properties=species:S:1:pos:R:3 pbc="T T T"
Pm -0.8469 6.4903 3.8444
Pm -3.7965 4.5857 3.4488
Pm 0.5326 6.0770 0.5388
Pm -2.1877 8.4758 0.8658
Pm -4.9071 1.5836 5.1396
Pm -2.1868 -0.8151 4.8125
Pm -0.5780 3.0750 2.2296
Pm -3.5276 1.1704 1.8339
Pd -2.3940 0.3017 -1.0367
Ag -2.5798 5.4781 0.8988
Ag -1.7947 2.1825 4.7795
```


no.,raw total energy (eV/atom)
1,-8.905
2,-4.644